[1]
This record from OQMD describes a geometry-optimized LaPuSi structure. The functional is GGA-PBE.

abc: 4.9280 4.9280 4.9280
angles: 60.00 60.00 60.00
Fractional positions:
1 La 0.0000 0.0000 0.0000
2 Pu 0.7500 0.7500 0.7500
3 Si 0.2500 0.2500 0.2500

## Properties
relative energy among the computed polymorphs: 489.2 meV per atom

***

[2]
This record from OQMD describes a geometry-optimized LaPuSi structure. The functional is GGA-PBE.

abc: 5.0069 5.0069 5.0069
angles: 60.00 60.00 60.00
Fractional positions:
1 La 0.0000 0.0000 0.0000
2 Pu 0.5000 0.5000 0.5000
3 Si 0.2500 0.2500 0.2500

## Properties
relative energy among the computed polymorphs: 0.0 meV per atom

***

[3]
This record from OQMD describes a geometry-optimized LaPuSn structure. The functional is GGA-PBE.

abc: 5.1320 5.1320 5.1320
angles: 60.00 60.00 60.00
Fractional positions:
1 La 0.0000 0.0000 0.0000
2 Pu 0.2500 0.2500 0.2500
3 Sn 0.5000 0.5000 0.5000

## Properties
relative energy among the computed polymorphs: 0.0 meV per atom

***

[4]
This record from OQMD describes a geometry-optimized LaPuSn structure. The functional is GGA-PBE.

abc: 5.2202 5.2202 5.2202
angles: 60.00 60.00 60.00
Fractional positions:
1 La 0.0000 0.0000 0.0000
2 Pu 0.7500 0.7500 0.7500
3 Sn 0.2500 0.2500 0.2500

## Properties
relative energy among the computed polymorphs: 123.8 meV per atom

***

[5]
This record from OQMD describes a geometry-optimized LaTbPu structure. The functional is GGA-PBE.

abc: 5.1737 5.1737 5.1737
angles: 60.00 60.00 60.00
Fractional positions:
1 La 0.0000 0.0000 0.0000
2 Tb 0.7500 0.7500 0.7500
3 Pu 0.2500 0.2500 0.2500

## Properties
formation energy: 0.7205 eV/atom

***

[6]
This record from OQMD describes a geometry-optimized LaPuU structure. The functional is GGA-PBE.

abc: 4.8565 4.8565 4.8565
angles: 60.00 60.00 60.00
Fractional positions:
1 La 0.0000 0.0000 0.0000
2 Pu 0.2500 0.2500 0.2500
3 U 0.5000 0.5000 0.5000

## Properties
relative energy among the computed polymorphs: 0.0 meV per atom
formation energy: 0.8555 eV/atom

***

[7]
This record from OQMD describes a geometry-optimized LaPuW structure. The functional is GGA-PBE.

abc: 4.7778 4.7778 4.7778
angles: 60.00 60.00 60.00
Fractional positions:
1 La 0.0000 0.0000 0.0000
2 Pu 0.2500 0.2500 0.2500
3 W 0.5000 0.5000 0.5000

## Properties
formation energy: 1.1432 eV/atom

***

[8]
This record from OQMD describes a geometry-optimized LaYPu structure. The functional is GGA-PBE.

abc: 5.2709 5.2709 5.2709
angles: 60.00 60.00 60.00
Fractional positions:
1 La 0.0000 0.0000 0.0000
2 Y 0.5000 0.5000 0.5000
3 Pu 0.2500 0.2500 0.2500

## Properties
relative energy among the computed polymorphs: 0.0 meV per atom
formation energy: 0.7303 eV/atom